Entry from Alexandria via LeMat-Bulk: LaMg2Cu2 after structural relaxation (GGA-PBEsol).

- crystal system = tetragonal
- calculated volume (Å³ per cell) = 103.8
- Fermi-level density of states (states/eV/atom) = 0.6364
- calculated formation energy (eV per atom) = 0.02
- offset from the most stable computed form (kJ per mole of atoms) = 12.7
- magnetic moment (Bohr magnetons per cell) = 0.0

a = 5.7830 Å, b = 5.7830 Å, c = 5.7830 Å
α = 132.28°, β = 132.28°, γ = 69.79°
Last column: nearest neighbours and their distance in Å.
Positions (direct):
La  0.0000  0.0000  0.0000  8 Cu 3.33, 10 Mg 3.37-3.58
Mg  0.3548  0.3548  0.0000  4 Cu 2.54, 1 Mg 2.76
Mg  0.6452  0.6452  0.0000  4 Cu 2.54, 1 Mg 2.76
Cu  0.2500  0.7500  0.5000  4 Mg 2.54
Cu  0.7500  0.2500  0.5000  4 Mg 2.54

Entry from Alexandria via LeMat-Bulk: LaMgCu2Re after structural relaxation (GGA-PBEsol).

- crystal system = tetragonal
- calculated volume (Å³ per cell) = 97.8
- Fermi-level density of states (states/eV/atom) = 0.7599
- calculated formation energy (eV per atom) = 0.93
- magnetic moment (Bohr magnetons per cell) = 0.4

a = 4.4799 Å, b = 4.4799 Å, c = 4.8722 Å
α = 90.00°, β = 90.00°, γ = 90.00°
Last column: nearest neighbours and their distance in Å.
Positions (direct):
La  0.0000  0.0000  0.0000  4 Re 3.17, 8 Cu 3.31
Mg  0.5000  0.5000  0.5000  4 Cu 2.24, 2 Re 2.44
Cu  0.0000  0.5000  0.5000  2 Mg 2.24
Cu  0.5000  0.0000  0.5000  2 Mg 2.24
Re  0.5000  0.5000  0.0000  2 Mg 2.44

Entry from Alexandria via LeMat-Bulk: LaMnCu after structural relaxation (GGA-PBEsol).

- crystal system = tetragonal
- calculated volume (Å³ per cell) = 58.1
- Fermi-level density of states (states/eV/atom) = 0.8305
- calculated formation energy (eV per atom) = 0.28
- magnetic moment (Bohr magnetons per cell) = 3.4

a = 5.7633 Å, b = 5.7633 Å, c = 5.7633 Å
α = 146.51°, β = 146.51°, γ = 48.09°
Last column: nearest neighbours and their distance in Å.
Positions (direct):
La  0.0000  0.0000  0.0000  5 Mn 3.09-3.20, 5 Cu 3.13-3.17, 4 La 3.32
Mn  0.7067  0.7067  0.0000  4 Cu 2.54
Cu  0.2976  0.2976  0.0000  4 Mn 2.54

Entry from Alexandria via LeMat-Bulk: LaMn2Cu after structural relaxation (GGA-PBEsol).

- crystal system = tetragonal
- calculated volume (Å³ per cell) = 66.1
- Fermi-level density of states (states/eV/atom) = 0.8794
- calculated formation energy (eV per atom) = 0.51
- magnetic moment (Bohr magnetons per cell) = 5.6

a = 4.0782 Å, b = 4.0782 Å, c = 3.9763 Å
α = 90.00°, β = 90.00°, γ = 90.00°
Last column: nearest neighbours and their distance in Å.
Positions (direct):
La  0.0000  0.0000  0.0000  8 Mn 2.85, 4 Cu 2.88
Mn  0.0000  0.5000  0.5000  4 Cu 2.85, 4 La 2.85, 4 Mn 2.88
Mn  0.5000  0.0000  0.5000  4 Cu 2.85, 4 La 2.85, 4 Mn 2.88
Cu  0.5000  0.5000  0.0000  8 Mn 2.85, 4 La 2.88

Entry from Alexandria via LeMat-Bulk: LaMn2Cu after structural relaxation (GGA-PBEsol).

- crystal system = monoclinic
- calculated volume (Å³ per cell) = 72.3
- Fermi-level density of states (states/eV/atom) = 0.9023
- calculated formation energy (eV per atom) = 0.54
- magnetic moment (Bohr magnetons per cell) = 6.9

a = 3.2033 Å, b = 4.3564 Å, c = 5.3256 Å
α = 90.00°, β = 103.41°, γ = 90.00°
Last column: nearest neighbours and their distance in Å.
Positions (direct):
La  0.0000  0.0000  0.0000  2 Cu 2.77, 4 Mn 3.02
Mn  0.3391  0.5000  0.7079  2 Cu 2.55, 2 Mn 2.65-2.72
Mn  0.6609  0.5000  0.2921  2 Cu 2.55, 2 Mn 2.65-2.72
Cu  0.5000  0.0000  0.5000  4 Mn 2.55, 2 La 2.77

Entry from Alexandria via LeMat-Bulk: LaMn2Cu after structural relaxation (GGA-PBEsol).

- crystal system = trigonal
- calculated volume (Å³ per cell) = 66.7
- Fermi-level density of states (states/eV/atom) = 1.1227
- calculated formation energy (eV per atom) = 0.62
- magnetic moment (Bohr magnetons per cell) = 0.1

a = 8.9226 Å, b = 8.9226 Å, c = 8.9226 Å
α = 19.13°, β = 19.13°, γ = 19.13°
Last column: nearest neighbours and their distance in Å.
Positions (direct):
La  0.0000  0.0000  0.0000  6 La 2.97, 3 Cu 3.11, 3 Mn 3.21
Mn  0.4979  0.4979  0.4979  3 Mn 2.34, 3 Cu 2.51
Mn  0.7702  0.7702  0.7702  3 Mn 2.34
Cu  0.2345  0.2345  0.2345  3 Mn 2.51

Entry from Alexandria via LeMat-Bulk: LaMn2CuSi after structural relaxation (GGA-PBEsol).

- crystal system = tetragonal
- calculated volume (Å³ per cell) = 89.9
- Fermi-level density of states (states/eV/atom) = 1.0760
- magnetic moment (Bohr magnetons per cell) = 5.2
- energy relative to the elements, uncorrected (eV/atom) = 0.2688

a = 4.5196 Å, b = 4.5196 Å, c = 4.4023 Å
α = 90.00°, β = 90.00°, γ = 90.00°
Last column: nearest neighbours and their distance in Å.
Positions (direct):
La  0.0000  0.0000  0.0000  8 Mn 3.15, 4 Cu 3.20
Mn  0.0000  0.5000  0.5000  2 Si 2.26
Mn  0.5000  0.0000  0.5000  2 Si 2.26
Cu  0.5000  0.5000  0.0000  2 Si 2.20
Si  0.5000  0.5000  0.5000  2 Cu 2.20, 4 Mn 2.26

Entry from Alexandria via LeMat-Bulk: La2MnCuSi after structural relaxation (GGA-PBEsol).

- crystal system = tetragonal
- calculated volume (Å³ per cell) = 113.9
- Fermi-level density of states (states/eV/atom) = 0.6888
- magnetic moment (Bohr magnetons per cell) = 0.0
- energy relative to the elements, uncorrected (eV/atom) = 0.0013

a = 5.0915 Å, b = 5.0915 Å, c = 4.3956 Å
α = 90.00°, β = 90.00°, γ = 90.00°
Last column: nearest neighbours and their distance in Å.
Positions (direct):
La  0.0000  0.5000  0.0000  2 Mn 2.55
La  0.5000  0.0000  0.0000  2 Mn 2.55
Mn  0.0000  0.0000  0.0000  2 Si 2.20
Cu  0.5000  0.5000  0.5000  8 La 3.36, 4 Si 3.60
Si  0.0000  0.0000  0.5000  2 Mn 2.20